VASP calculation (GGA-PBE) on an optimized crystal structure of MnBeZn3.

```
5
Lattice="4.2375 0.0000 0.0000 0.0000 4.2375 0.0000 0.0000 0.0000 4.2375" Properties=species:S:1:pos:R:3 pbc="T T T"
Mn 0.0000 0.0000 0.0000
Be 2.1187 2.1187 2.1187
Zn 0.0000 2.1187 2.1187
Zn 2.1187 0.0000 2.1187
Zn 2.1187 2.1187 0.0000
```

Properties
Excess energy over the best structure of this formula in the dataset   0.00 eV/f.u.
Energy relative to the elements   2.20 eV per formula unit
E   -0.213 Ry per atom